(1)
6
Lattice="5.5646 0.0000 0.0000 2.7823 4.8191 0.0000 2.7823 1.6064 4.5435" Properties=species:S:1:pos:R:3 comment="AcTlPt4, relaxed, DFT GGA-PBE" mass_density_g_cm3=16.5 dos_at_fermi_per_ev_atom=0.271 formation_energy_ev_per_fu=-4.5 pbc="T T T"
Pt 5.5646 1.5957 2.8435
Pt 4.1642 4.0213 2.8435
Pt 5.5646 3.2127 0.5566
Pt 6.9651 4.0213 2.8435
Tl 0.0000 0.0000 0.0000
Ac 2.7823 1.6064 1.1359

(2)
4
Lattice="-1.3095 -1.4346 -2.3965 -2.5150 -1.1880 2.0854 -3.5565 5.3346 -1.2502" Properties=species:S:1:pos:R:3 comment="LaBe2As, relaxed, DFT GGA-PBE" mass_density_g_cm3=5.5 dos_at_fermi_per_ev_atom=0.599 formation_energy_ev_per_fu=0.2 pbc="T T T"
La -1.7528 2.6291 -0.6161
Be -2.5028 -0.4254 -0.3631
As -4.8560 3.1043 -1.1903
Be -0.0476 0.0714 -0.0167

(3)
30
Lattice="9.1593 0.0000 5.2881 3.0531 8.6354 5.2881 0.0000 0.0000 10.5762" Properties=species:S:1:pos:R:3 comment="Ac6Mg23Al, relaxed, DFT GGA-PBE" mass_density_g_cm3=3.9 dos_at_fermi_per_ev_atom=0.759 formation_energy_ev_per_fu=-3.0 pbc="T T T"
Mg 6.1374 1.0684 5.2881
Mg 6.1062 4.3177 5.2881
Mg 3.9925 2.8231 3.6611
Mg 4.5796 0.0000 2.6441
Mg 0.0000 0.0000 5.2881
Mg 0.0000 0.0000 0.0000
Mg 10.7015 7.5671 18.5355
Mg 3.9925 2.8231 6.9152
Ac 4.7985 6.1671 12.8412
Ac 7.4139 2.4683 12.8412
Mg 11.0380 5.8123 15.8643
Mg 1.5109 1.0684 2.6170
Mg 8.2199 5.8123 17.4914
Mg 1.5109 1.0684 7.9592
Mg 4.5796 0.0000 7.9322
Mg 1.5265 4.3177 7.9322
Mg 3.0531 0.1661 5.2881
Mg 1.5265 4.3177 2.6441
Mg 9.1593 8.4693 15.8643
Ac 8.7216 6.1671 10.5762
Mg 9.1593 3.2051 15.8643
Mg 1.1743 2.8231 5.2881
Ac 4.7985 6.1671 8.3112
Ac 7.4139 2.4683 8.3112
Al 6.1062 4.3177 10.5762
Mg 6.0749 7.5671 15.8643
Ac 3.4908 2.4683 10.5762
Mg 10.7015 7.5671 13.1932
Mg 8.2199 5.8123 14.2373
Mg 3.0531 5.4303 5.2881

(4)
5
Lattice="5.6915 0.0000 0.0000 0.0000 5.6915 0.0000 0.0000 0.0000 5.6915" Properties=species:S:1:pos:R:3 comment="NaLaAu3, relaxed, DFT GGA-PBE" mass_density_g_cm3=6.8 dos_at_fermi_per_ev_atom=0.377 formation_energy_ev_per_fu=-0.1 pbc="T T T"
Au 2.8458 0.0000 0.0000
Au 0.0000 2.8458 0.0000
Au 0.0000 0.0000 2.8458
Na 2.8458 2.8458 2.8458
La 0.0000 0.0000 0.0000

(5)
4
Lattice="4.8191 0.0000 0.0000 0.0000 4.7953 0.0000 0.0000 0.0000 4.7953" Properties=species:S:1:pos:R:3 comment="PuSnPb2, relaxed, DFT GGA-PBE" mass_density_g_cm3=11.6 dos_at_fermi_per_ev_atom=2.732 formation_energy_ev_per_fu=-0.8 pbc="T T T"
Pb 0.0000 0.0000 2.3976
Pb 0.0000 2.3976 0.0000
Sn 2.4096 0.0000 0.0000
Pu 2.4096 2.3976 2.3976

(6)
4
Lattice="-2.7381 3.1297 -1.3508 -2.9585 -0.8717 -3.0991 -4.2443 -0.2153 1.0280" Properties=species:S:1:pos:R:3 comment="BeAg2Ir, relaxed, DFT GGA-PBE" mass_density_g_cm3=11.7 dos_at_fermi_per_ev_atom=0.301 formation_energy_ev_per_fu=1.3 pbc="T T T"
Ir -7.4556 1.5320 -2.5664
Ag -2.4852 0.5107 -0.8555
Be -4.9704 1.0213 -1.7109
Ag 0.0000 0.0000 0.0000

Which formula does entry 3 have?
Ac6Mg23Al